## CdNiOs3 (PBE)

Data for a geometry-optimized CdNiOs3 structure.

Unit cell a=4.766 b=4.766 c=4.766 alpha=90.00 beta=90.00 gamma=90.00
Fractional positions:
Cd: 0.000 0.000 0.000
Ni: 0.500 0.500 0.500
Os: 0.000 0.000 0.500
Os: 0.000 0.500 0.000
Os: 0.500 0.000 0.000

- Distance to the lowest polymorph of the same formula: 1576.1 meV per atom
- Space-group type: Pm-3m, No. 221
- ΔH_f (0 K): 3.420 eV/atom

=====

## ThTlCl6 (PBE)

Data for a geometry-optimized ThTlCl6 structure.

Unit cell a=4.075 b=8.479 c=8.479 alpha=64.22 beta=90.00 gamma=90.00
Fractional positions:
Th: 0.000 0.000 0.000
Tl: 0.500 0.514 0.514
Cl: 0.000 0.204 0.635
Cl: 0.000 0.635 0.204
Cl: 0.000 0.643 0.643
Cl: 0.500 0.263 0.926
Cl: 0.500 0.870 0.870
Cl: 0.500 0.926 0.263

- Distance to the lowest polymorph of the same formula: 39.1 meV per atom
- Space-group type: Amm2, No. 38

=====

## SrHCl2 (PBE)

Data for a geometry-optimized SrHCl2 structure.

Unit cell a=8.731 b=8.731 c=8.731 alpha=135.04 beta=135.04 gamma=65.46
Fractional positions:
Sr: 0.000 0.000 0.000
Sr: 0.750 0.250 0.500
H: 0.250 0.750 0.500
H: 0.500 0.500 0.000
Cl: 0.065 0.625 0.940
Cl: 0.375 0.315 0.440
Cl: 0.685 0.125 0.060
Cl: 0.875 0.935 0.560

- Space-group type: I-42d, No. 122

=====

## CaCeDy4S8 (PBE)

Data for a geometry-optimized CaCeDy4S8 structure.

Unit cell a=8.183 b=8.183 c=8.183 alpha=59.36 beta=59.36 gamma=59.36
Fractional positions:
Ca: 0.000 0.000 0.000
Ce: 0.626 0.626 0.626
Dy: 0.120 0.627 0.627
Dy: 0.251 0.251 0.251
Dy: 0.627 0.120 0.627
Dy: 0.627 0.627 0.120
S: 0.377 0.377 0.855
S: 0.377 0.855 0.377
S: 0.383 0.383 0.383
S: 0.405 0.870 0.870
S: 0.855 0.377 0.377
S: 0.865 0.865 0.865
S: 0.870 0.405 0.870
S: 0.870 0.870 0.405

- Space-group type: R3m, No. 160

=====

## CePdPb (PBE)

Data for a geometry-optimized CePdPb structure.

Unit cell a=6.426 b=6.426 c=6.426 alpha=148.47 beta=148.47 gamma=45.20
Fractional positions:
Ce: 0.000 0.000 0.000
Pd: 0.642 0.642 0.000
Pb: 0.292 0.292 0.000

- Space-group type: I4mm, No. 107
- ΔH_f (0 K): -0.442 eV/atom

=====

## KZnIr3 (PBE)

Data for a geometry-optimized KZnIr3 structure.

Unit cell a=4.695 b=4.695 c=4.695 alpha=90.00 beta=90.00 gamma=90.00
Fractional positions:
K: 0.000 0.000 0.000
Zn: 0.500 0.500 0.500
Ir: 0.000 0.500 0.500
Ir: 0.500 0.000 0.500
Ir: 0.500 0.500 0.000

- Distance to the lowest polymorph of the same formula: 0.0 meV per atom
- Space-group type: Pm-3m, No. 221
- ΔH_f (0 K): 1.449 eV/atom

=====

no.,calculated volume (Å³/f.u.),electronic total energy (Ry/atom)
1,108.24,-0.342
2,263.83,-0.304
3,163.71,-0.243
4,381.85,-0.457
5,72.37,-0.396
6,103.47,-0.319